# Re4SeBr, relaxed, DFT PBE
# uncorrected formation energy = 1.44 eV/atom
# crystal system = cubic
# symmetry = No. 216
# total moment = 0.00 μB/cell
data_Re4SeBr
_chemical_formula_sum 'Re4 Se1 Br1'
_cell_length_a 5.3152
_cell_length_b 5.3152
_cell_length_c 5.3152
_cell_angle_alpha 60.00
_cell_angle_beta 60.00
_cell_angle_gamma 60.00
_space_group_name_H-M_alt 'P 1'
_space_group_IT_number 1
loop_
_space_group_symop_operation_xyz
'x,y,z'
loop_
_atom_site_label
_atom_site_type_symbol
_atom_site_fract_x
_atom_site_fract_y
_atom_site_fract_z
Re1 Re 0.3755 0.3755 0.3755
Re2 Re 0.3755 0.3755 0.8735
Re3 Re 0.3755 0.8735 0.3755
Re4 Re 0.8735 0.3755 0.3755
Se1 Se 0.7500 0.7500 0.7500
Br1 Br 0.0000 0.0000 0.0000